Entry 1:
A plane-wave DFT calculation with PBE was carried out for a relaxed Pa2AlIn crystal. Values from VASP.

Values from the calculation:
Calculated total energy: -0.2373 Ha/atom
Theoretical density: 10.82 Mg/m³
Total magnetization: 1.03 μB per formula unit

The structure in Quantum ESPRESSO input format:
```
&SYSTEM
  ibrav = 0, nat = 4, ntyp = 3
/
ATOMIC_SPECIES
Pa 231.04 Pa.upf
Al 26.98 Al.upf
In 114.82 In.upf
CELL_PARAMETERS angstrom
3.141 0.000 0.000
0.000 3.141 0.000
0.000 0.000 9.390
ATOMIC_POSITIONS crystal
Pa 0.000 0.000 0.233
Pa 0.000 0.000 0.767
Al 0.500 0.500 0.000
In 0.500 0.500 0.500
```



Entry 2:
A plane-wave DFT calculation with PBE was carried out for a relaxed Cs2GaPt crystal. Values from VASP.

Values from the calculation:
Calculated total energy: -0.0848 Ha/atom
Theoretical density: 6.07 Mg/m³
Total magnetization: 0.00 μB per formula unit

The structure in Quantum ESPRESSO input format:
```
&SYSTEM
  ibrav = 0, nat = 16, ntyp = 3
/
ATOMIC_SPECIES
Cs 132.91 Cs.upf
Ga 69.72 Ga.upf
Pt 195.08 Pt.upf
CELL_PARAMETERS angstrom
8.343 0.000 0.000
0.000 8.343 0.000
0.000 0.000 8.343
ATOMIC_POSITIONS crystal
Cs 0.250 0.250 0.250
Cs 0.250 0.250 0.750
Cs 0.250 0.750 0.250
Cs 0.250 0.750 0.750
Cs 0.750 0.250 0.250
Cs 0.750 0.250 0.750
Cs 0.750 0.750 0.250
Cs 0.750 0.750 0.750
Ga 0.000 0.000 0.000
Ga 0.000 0.500 0.500
Ga 0.500 0.000 0.500
Ga 0.500 0.500 0.000
Pt 0.000 0.000 0.500
Pt 0.000 0.500 0.000
Pt 0.500 0.000 0.000
Pt 0.500 0.500 0.500
```



Entry 3:
A plane-wave DFT calculation with PBE was carried out for a relaxed LaMg2GeMo crystal. Values from VASP.

Values from the calculation:
Calculated total energy: -0.1108 Ha/atom
Theoretical density: 3.17 Mg/m³
Total magnetization: 4.29 μB per formula unit

The structure in Quantum ESPRESSO input format:
```
&SYSTEM
  ibrav = 0, nat = 5, ntyp = 4
/
ATOMIC_SPECIES
La 138.91 La.upf
Mg 24.30 Mg.upf
Ge 72.64 Ge.upf
Mo 95.94 Mo.upf
CELL_PARAMETERS angstrom
5.859 0.000 0.000
0.000 5.859 0.000
0.000 0.000 5.427
ATOMIC_POSITIONS crystal
La 0.000 0.000 0.000
Mg 0.000 0.500 0.000
Mg 0.500 0.000 0.000
Ge 0.000 0.000 0.500
Mo 0.500 0.500 0.500
```